# TaInSi2, relaxed, DFT GGA-PBE
# * energy relative to the elements, uncorrected: 230 meV/atom
data_TaInSi2
_chemical_formula_sum 'Ta1 In1 Si2'
_space_group_name_H-M_alt 'P 1'
_space_group_IT_number 1
_cell_length_a 4.629
_cell_length_b 3.038
_cell_length_c 5.288
_cell_angle_alpha 74.26
_cell_angle_beta 90.00
_cell_angle_gamma 90.00
loop_
_space_group_symop_operation_xyz
'x,y,z'
loop_
_atom_site_label
_atom_site_fract_x
_atom_site_fract_y
_atom_site_fract_z
In1 0.500 0.713 0.721
Si1 0.500 0.433 0.236
Ta1 0.000 0.317 0.492
Si2 0.000 0.038 0.051